# 1
Pr5Ni6 | the Alexandria database | PBE | relaxed; crystal system = orthorhombic; ΔH_f (0 K) = -0.2925 eV per atom
1.0
2.097 -14.310 0.000
2.097 14.310 0.000
0.000 0.000 3.950
Pr Ni
5 6
Direct
0.000 0.000 0.000
0.197 0.803 0.500
0.387 0.613 0.000
0.613 0.387 0.000
0.803 0.197 0.500
0.086 0.914 0.500
0.276 0.724 0.000
0.459 0.541 0.500
0.541 0.459 0.500
0.724 0.276 0.000
0.914 0.086 0.500



# 2
PrNi6 | the Alexandria database | PBE | relaxed; crystal system = cubic; ΔH_f (0 K) = 0.7742 eV per atom; energy above the lowest structure with this stoichiometry = 901 meV/atom
1.0
5.301 0.000 0.000
0.000 5.301 0.000
0.000 0.000 5.301
Pr Ni
1 6
Direct
0.000 0.000 0.000
0.197 0.500 0.500
0.500 0.197 0.500
0.500 0.500 0.197
0.500 0.500 0.803
0.500 0.803 0.500
0.803 0.500 0.500



# 3
Pr2Ni7 | the Alexandria database | PBE | relaxed; crystal system = trigonal; ΔH_f (0 K) = -0.2835 eV per atom
1.0
2.518 1.454 12.260
-2.518 1.454 12.260
0.000 -2.907 12.260
Pr Ni
4 14
Direct
0.051 0.051 0.051
0.147 0.147 0.147
0.853 0.853 0.853
0.949 0.949 0.949
0.000 0.500 0.500
0.109 0.608 0.608
0.279 0.279 0.279
0.387 0.387 0.387
0.392 0.392 0.891
0.392 0.891 0.392
0.500 0.000 0.500
0.500 0.500 0.000
0.500 0.500 0.500
0.608 0.109 0.608
0.608 0.608 0.109
0.613 0.613 0.613
0.721 0.721 0.721
0.891 0.392 0.392



# 4
Pr4Ni | the Alexandria database | PBE | relaxed; crystal system = tetragonal; ΔH_f (0 K) = -0.0447 eV per atom; energy above the lowest structure with this stoichiometry = 0 meV/atom
1.0
6.518 0.000 0.000
0.000 6.518 0.000
0.000 0.000 7.280
Pr Ni
8 2
Direct
0.173 0.270 0.353
0.230 0.327 0.853
0.270 0.827 0.647
0.327 0.770 0.147
0.673 0.230 0.147
0.730 0.173 0.647
0.770 0.673 0.853
0.827 0.730 0.353
0.000 0.000 0.000
0.500 0.500 0.500



# 5
PrNi2 | the Alexandria database | PBE | relaxed; crystal system = cubic; ΔH_f (0 K) = -0.2779 eV per atom
1.0
0.000 3.678 3.678
3.678 0.000 3.678
3.678 3.678 0.000
Pr Ni
2 4
Direct
0.125 0.125 0.125
0.875 0.875 0.875
0.000 0.500 0.500
0.500 0.000 0.500
0.500 0.500 0.000
0.500 0.500 0.500



# 6
Pr2Ni | the Alexandria database | PBE | relaxed; crystal system = monoclinic; ΔH_f (0 K) = -0.1916 eV per atom
1.0
6.313 -1.927 0.000
6.313 1.927 0.000
-5.050 0.000 6.716
Pr Ni
4 2
Direct
0.087 0.087 0.386
0.330 0.330 0.923
0.670 0.670 0.077
0.913 0.913 0.614
0.377 0.377 0.324
0.623 0.623 0.676



# 7
Pr5Ni4 | the Alexandria database | PBE | relaxed; crystal system = monoclinic; ΔH_f (0 K) = -0.2420 eV per atom
1.0
5.806 -1.940 0.000
5.806 1.940 0.000
-3.444 0.000 9.704
Pr Ni
5 4
Direct
0.000 0.000 0.000
0.105 0.105 0.395
0.228 0.228 0.819
0.772 0.772 0.181
0.895 0.895 0.605
0.402 0.402 0.395
0.463 0.463 0.183
0.537 0.537 0.817
0.598 0.598 0.605



# 8
Pr2Ni | the Alexandria database | PBE | relaxed; crystal system = monoclinic; ΔH_f (0 K) = -0.1011 eV per atom
1.0
2.508 -2.518 0.000
2.508 2.518 0.000
-2.484 0.000 6.517
Pr Ni
2 1
Direct
0.129 0.129 0.256
0.871 0.871 0.744
0.500 0.500 0.000



# 9
PrNi6 | the Alexandria database | PBE | relaxed; crystal system = orthorhombic; ΔH_f (0 K) = -0.1264 eV per atom; energy above the lowest structure with this stoichiometry = 0 meV/atom
1.0
7.845 0.000 0.000
0.000 4.935 0.000
0.000 0.000 9.914
Pr Ni
4 24
Direct
0.239 0.250 0.060
0.261 0.750 0.560
0.739 0.250 0.440
0.761 0.750 0.940
0.067 0.750 0.097
0.068 0.005 0.310
0.068 0.495 0.310
0.104 0.250 0.518
0.150 0.750 0.852
0.179 0.250 0.758
0.321 0.750 0.258
0.350 0.250 0.352
0.396 0.750 0.018
0.432 0.505 0.810
0.432 0.995 0.810
0.433 0.250 0.597
0.567 0.750 0.403
0.568 0.005 0.190
0.568 0.495 0.190
0.604 0.250 0.982
0.650 0.750 0.648
0.679 0.250 0.742
0.821 0.750 0.242
0.850 0.250 0.148
0.896 0.750 0.482
0.932 0.505 0.690
0.932 0.995 0.690
0.933 0.250 0.903



# 10
Pr5Ni2 | the Alexandria database | PBE | relaxed; crystal system = monoclinic; ΔH_f (0 K) = -0.1715 eV per atom
1.0
8.637 -3.290 0.000
8.637 3.290 0.000
-0.836 0.000 7.060
Pr Ni
10 4
Direct
0.068 0.932 0.750
0.143 0.284 0.315
0.284 0.143 0.815
0.301 0.507 0.076
0.493 0.699 0.424
0.507 0.301 0.576
0.699 0.493 0.924
0.716 0.857 0.185
0.857 0.716 0.685
0.932 0.068 0.250
0.085 0.698 0.427
0.302 0.915 0.073
0.698 0.085 0.927
0.915 0.302 0.573



# 11
Pr4Ni | the Alexandria database | PBE | relaxed; crystal system = cubic; ΔH_f (0 K) = 0.0300 eV per atom; energy above the lowest structure with this stoichiometry = 75 meV/atom
1.0
5.548 0.000 0.000
0.000 5.548 0.000
0.000 0.000 5.548
Pr Ni
4 1
Direct
0.000 0.000 0.000
0.000 0.500 0.500
0.500 0.000 0.500
0.500 0.500 0.000
0.500 0.500 0.500



# 12
PrNi13 | the Alexandria database | PBE | relaxed; crystal system = cubic; ΔH_f (0 K) = -0.0827 eV per atom
1.0
0.000 5.622 5.622
5.622 0.000 5.622
5.622 5.622 0.000
Pr Ni
2 26
Direct
0.250 0.250 0.250
0.750 0.750 0.750
0.000 0.000 0.000
0.064 0.296 0.704
0.064 0.704 0.936
0.064 0.936 0.296
0.204 0.436 0.796
0.204 0.564 0.436
0.204 0.796 0.564
0.296 0.064 0.936
0.296 0.704 0.064
0.296 0.936 0.704
0.436 0.204 0.564
0.436 0.564 0.796
0.436 0.796 0.204
0.500 0.500 0.500
0.564 0.204 0.796
0.564 0.436 0.204
0.564 0.796 0.436
0.704 0.064 0.296
0.704 0.296 0.936
0.704 0.936 0.064
0.796 0.204 0.436
0.796 0.436 0.564
0.796 0.564 0.204
0.936 0.064 0.704
0.936 0.296 0.064
0.936 0.704 0.296



Question: Which formula does entry 6 have?
Answer: Pr2Ni



Question: Among the records above, which one has the lowest ΔH_f (0 K)?
Answer: Pr5Ni6